# Sm12Mg2Al5

Sm12Mg2Al5 after structural relaxation (PBE-GGA, the Alexandria database).

Computed properties:
Its formation energy is -0.1122 eV per atom. Its total energy is -4.245 eV/atom. The space-group type is C2/m (12).

extended XYZ file:
```
19
Lattice="-8.0382 -1.1947 5.3332 4.8268 -5.9501 -2.9160 4.7805 -0.7558 7.0358" Properties=species:S:1:pos:R:3 pbc="T T T"
Sm -2.6397 -5.8998 3.5579
Sm 6.9887 -4.8055 3.8091
Sm 1.8636 -5.5673 7.2095
Sm 3.9672 -4.9612 1.3249
Sm 0.7521 -5.4391 3.4581
Sm 3.9067 -5.7224 4.6062
Sm -2.3376 -2.1782 4.8468
Sm -2.3981 -2.9394 8.1282
Sm 0.8170 -2.4615 5.9950
Sm -5.4196 -3.0951 5.6440
Sm -0.2945 -2.3334 2.2436
Sm 4.2087 -2.0008 5.8952
Mg -5.3047 -0.7884 3.5195
Mg -2.7336 -0.4063 1.8137
Al 2.6892 -3.0297 3.3745
Al 0.6749 -4.1980 0.0768
Al 2.3902 -0.3779 3.5179
Al 0.8942 -3.7027 9.3763
Al -1.1201 -4.8710 6.0786
```

***

# Sm4Mg3Al

Sm4Mg3Al after structural relaxation (PBE-GGA, the Alexandria database).

Computed properties:
Its formation energy is -0.1778 eV per atom. Its total energy is -3.603 eV/atom. The space-group type is R-3m (166).

extended XYZ file:
```
8
Lattice="5.1484 0.0000 1.5197 2.3499 4.5808 1.5197 0.0451 0.0275 9.3277" Properties=species:S:1:pos:R:3 pbc="T T T"
Mg 1.8668 1.1405 3.1563
Mg 5.6765 3.4679 9.2109
Mg 3.7717 2.3042 6.1836
Al 0.0000 0.0000 0.0000
Sm 6.6019 4.0332 6.0760
Sm 2.8287 1.7281 9.3781
Sm 0.9414 0.5751 6.2911
Sm 4.7146 2.8803 2.9890
```

***

# Sm5Mg4Al4

Sm5Mg4Al4 after structural relaxation (PBE-GGA, the Alexandria database).

Computed properties:
Its formation energy is -0.2310 eV per atom. Its total energy is -3.688 eV/atom. The space-group type is I4/m (87).

extended XYZ file:
```
13
Lattice="4.4084 0.0000 1.1209 2.2042 8.6058 0.5604 0.0836 0.0000 8.9008" Properties=species:S:1:pos:R:3 pbc="T T T"
Sm 5.1907 7.9858 7.2738
Sm 1.5055 0.6200 3.3083
Sm 0.0000 0.0000 0.0000
Sm 4.2556 5.7704 1.7217
Sm 2.4406 2.8353 8.8604
Mg 5.1533 4.5138 7.4210
Mg 3.2961 2.6834 5.4955
Mg 1.5430 4.0919 3.1611
Mg 3.4001 5.9224 5.0866
Al 4.0028 2.6826 2.7162
Al 2.6935 5.9231 7.8659
Al 5.9516 6.9596 4.2812
Al 0.7447 1.6461 6.3009
```

***

# Sm6Mg2Al

Sm6Mg2Al after structural relaxation (PBE-GGA, the Alexandria database).

Computed properties:
Its formation energy is -0.0320 eV per atom. Its total energy is -3.948 eV/atom. The space-group type is Immm (71).

extended XYZ file:
```
18
Lattice="-7.0345 4.0544 -3.7438 -0.4905 -8.5846 -2.4500 -0.3717 1.2785 8.8411" Properties=species:S:1:pos:R:3 pbc="T T T"
Sm -4.6541 -3.0456 3.3202
Sm -3.2425 -0.2060 -0.6729
Sm -0.9728 -0.8295 6.3503
Sm -6.9238 -2.4222 -3.7030
Sm -6.2470 -2.3678 -0.0033
Sm -1.6496 -0.8839 2.6506
Sm -2.0611 -4.3710 5.7010
Sm -5.8355 1.1194 -3.0537
Sm -5.7241 0.2656 2.1239
Sm -2.1725 -3.5173 0.5233
Sm -2.4733 -6.0666 2.7534
Sm -5.4233 2.8150 -0.1061
Mg -4.0104 0.0620 4.8269
Mg -3.8862 -3.3137 -2.1796
Mg -4.6909 3.3778 3.2286
Mg -2.7152 1.9551 1.8688
Al -0.4311 -3.6530 3.1955
Al 0.0000 0.0000 0.0000
```

***

# SmMgAl4

SmMgAl4 after structural relaxation (PBE-GGA, the Alexandria database).

Computed properties:
Its formation energy is -0.1757 eV per atom. Its total energy is -3.723 eV/atom. For the energy above the most stable polymorph in this dataset, the calculation gives 87.4 meV per atom. The space-group type is Cmmm (65).

extended XYZ file:
```
6
Lattice="4.1475 0.0000 -1.4066 0.0000 4.4074 0.0000 -0.0665 0.0000 6.6220" Properties=species:S:1:pos:R:3 pbc="T T T"
Sm 2.0738 2.2037 -0.7033
Mg 0.0000 0.0000 0.0000
Al 1.2997 4.4074 3.8322
Al 2.7814 0.0000 1.3832
Al 3.3513 2.2037 3.0636
Al 0.7298 2.2037 2.1519
```

***

# Sm3MgAl

Sm3MgAl after structural relaxation (PBE-GGA, the Alexandria database).

Computed properties:
Its formation energy is 0.1140 eV per atom. Its total energy is -3.785 eV/atom. For the energy above the most stable polymorph in this dataset, the calculation gives 292.8 meV per atom. The space-group type is P6_3/mmc (194).

extended XYZ file:
```
10
Lattice="5.0195 0.0000 0.0000 0.0000 8.4203 -0.0005 0.0000 -4.2083 7.2933" Properties=species:S:1:pos:R:3 pbc="T T T"
Sm 1.2549 5.9150 1.4465
Sm 3.7646 -1.7030 5.8463
Sm 1.2549 4.2103 4.4000
Sm 3.7646 0.0017 2.8927
Sm 1.2549 2.5048 1.4471
Sm 3.7646 1.7072 5.8457
Mg 0.0000 0.0000 0.0000
Mg 2.5097 0.0000 0.0000
Al 1.2549 0.0032 4.8609
Al 3.7646 4.2088 2.4319
```

***

# SmMgAl3

SmMgAl3 after structural relaxation (PBE-GGA, the Alexandria database).

Computed properties:
Its formation energy is -0.2662 eV per atom. Its total energy is -3.775 eV/atom. The space-group type is Cmcm (63).

extended XYZ file:
```
10
Lattice="-1.6603 -2.7054 3.2671 -1.6546 -1.9133 -2.4252 11.6092 -6.9808 0.1190" Properties=species:S:1:pos:R:3 pbc="T T T"
Sm 1.1980 -1.8639 0.6532
Sm 7.0963 -9.7357 0.3077
Mg 4.8896 -6.1473 -1.0178
Mg 3.4047 -5.4523 1.9787
Al 7.6692 -6.6279 -0.0032
Al 0.6251 -4.9716 0.9641
Al 9.8338 -8.2214 -0.2228
Al -1.5395 -3.3781 1.1837
Al 5.6945 -7.1380 1.7464
Al 2.5998 -4.4615 -0.7855
```

***

# SmMg2Al9

SmMg2Al9 after structural relaxation (PBE-GGA, the Alexandria database).

Computed properties:
Its formation energy is -0.1165 eV per atom. Its total energy is -3.582 eV/atom. The space-group type is R-3m (166).

extended XYZ file:
```
12
Lattice="5.2400 0.0000 1.5595 2.3879 4.6642 1.5595 0.0461 0.0282 9.4282" Properties=species:S:1:pos:R:3 pbc="T T T"
Sm 0.0000 0.0000 0.0000
Mg 6.5469 4.0033 6.7511
Mg 1.1270 0.6891 5.7962
Al 5.0746 3.1030 2.1151
Al 2.5993 1.5894 10.4321
Al 3.8370 2.3462 6.2736
Al 3.1686 1.9375 3.6679
Al 5.8213 1.9375 4.4574
Al 4.3775 4.2988 4.4574
Al 4.5053 2.7549 8.8793
Al 3.2964 0.3936 8.0898
Al 1.8526 2.7549 8.0898
```